[1]
# GGA-PBE VNi2Rh, optimized geometry
data_VNi2Rh
_chemical_formula_sum 'V4 Ni8 Rh4'
_cell_length_a 6.565
_cell_length_b 6.565
_cell_length_c 4.910
_cell_angle_alpha 90.00
_cell_angle_beta 90.00
_cell_angle_gamma 90.00
_symmetry_space_group_name_H-M 'I -4 2 d'
_symmetry_Int_Tables_number 122
_symmetry_space_group_name_Hall 'I -4 2bw'
loop_
_atom_site_label
_atom_site_type_symbol
_atom_site_fract_x
_atom_site_fract_y
_atom_site_fract_z
V1 V 0.000 0.000 0.000
Ni1 Ni 0.225 0.250 0.125
Rh1 Rh 0.000 0.000 0.500
# Crystal system   tetragonal
# ΔE_f   0.2269 eV/atom
# Uncorrected energy   -108.50 eV per cell

[2]
# GGA-PBE V3NiRh6, optimized geometry
data_V3NiRh6
_chemical_formula_sum 'V6 Ni2 Rh12'
_cell_length_a 7.197
_cell_length_b 4.287
_cell_length_c 9.386
_cell_angle_alpha 90.00
_cell_angle_beta 110.08
_cell_angle_gamma 90.00
_symmetry_space_group_name_H-M 'P 1 21/m 1'
_symmetry_Int_Tables_number 11
_symmetry_space_group_name_Hall '-P 2yb'
loop_
_atom_site_label
_atom_site_type_symbol
_atom_site_fract_x
_atom_site_fract_y
_atom_site_fract_z
V1 V 0.088 0.250 0.236
V2 V 0.295 0.250 0.026
V3 V 0.318 0.750 0.374
Ni1 Ni 0.097 0.750 0.566
Rh1 Rh 0.084 0.250 0.722
Rh2 Rh 0.107 0.750 0.073
Rh3 Rh 0.287 0.250 0.527
Rh4 Rh 0.294 0.750 0.863
Rh5 Rh 0.494 0.250 0.329
Rh6 Rh 0.499 0.250 0.836
# Crystal system   monoclinic
# ΔE_f   -0.3326 eV/atom
# Uncorrected energy   -161.14 eV per cell

[3]
# GGA-PBE VNi3Rh, optimized geometry
data_VNi3Rh
_chemical_formula_sum 'V2 Ni6 Rh2'
_cell_length_a 8.124
_cell_length_b 3.608
_cell_length_c 5.740
_cell_angle_alpha 90.00
_cell_angle_beta 134.67
_cell_angle_gamma 90.00
_symmetry_space_group_name_H-M 'C 1 m 1'
_symmetry_Int_Tables_number 8
_symmetry_space_group_name_Hall 'C -2y'
loop_
_atom_site_label
_atom_site_type_symbol
_atom_site_fract_x
_atom_site_fract_y
_atom_site_fract_z
V1 V 0.000 0.000 0.000
Ni1 Ni 0.098 0.500 0.797
Ni2 Ni 0.207 0.000 0.606
Ni3 Ni 0.310 0.500 0.417
Rh1 Rh 0.403 0.000 0.200
# Crystal system   monoclinic
# ΔE_f   -0.1770 eV/atom
# Uncorrected energy   -69.40 eV per cell